CaScCu2 | GGA-PBE | optimized geometry

a b c (Å): 6.7813 6.7813 6.7813
angles (deg): 90.00 90.00 90.00
Closest atoms and distances in Å follow each position.
Space group Fm-3m (No. 225)
One atom of each set of equivalent atoms:
1 Ca 0.0000 0.0000 0.0000  8 Cu 2.94
2 Sc 0.0000 0.0000 0.5000  8 Cu 2.94
3 Cu 0.2500 0.2500 0.2500  4 Ca 2.94, 4 Sc 2.94

Values from the calculation:
Energy above the most stable polymorph in this dataset ... 2.14 kcal/mol of atoms
Raw total energy ... -4.213 eV/atom
Energy of formation from the pure elements ... -0.082 eV per atom
N(E_F) ... 0.94 states/eV per atom

***

LiHgAs2 | GGA-PBE | optimized geometry

a b c (Å): 3.6609 4.2122 11.8720
angles (deg): 90.00 90.00 90.00
Closest atoms and distances in Å follow each position.
Space group Imm2 (No. 44)
One atom of each set of equivalent atoms:
1 Li 0.0000 0.0000 0.0000  6 As 2.80-2.83
2 Hg 0.0000 0.5000 0.2061  6 As 3.20-3.22, 2 Li 3.23
3 As 0.0000 0.0000 0.4846  2 As 2.50, 4 Li 2.80
4 As 0.0000 0.5000 0.8411  2 As 2.50

Values from the calculation:
Raw total energy ... -3.036 eV/atom
Energy of formation from the pure elements ... -0.158 eV per atom
N(E_F) ... 0.23 states/eV per atom

***

Tb5PrY3 | GGA-PBE | optimized geometry

a b c (Å): 16.8933 8.0298 12.3381
angles (deg): 90.00 130.65 90.00
Closest atoms and distances in Å follow each position.
Space group C2/m (No. 12)
One atom of each set of equivalent atoms:
1 Tb 0.0000 0.1802 0.0000  1 Y 2.57
2 Tb 0.0641 0.2948 0.7795  5 Tb 3.30-3.66, 2 Y 3.44-3.67, 2 Pr 3.64-3.67
3 Tb 0.1241 0.5000 0.5668  6 Tb 3.36-3.75, 2 Y 3.40-3.56
4 Tb 0.1999 0.0000 0.0715  5 Tb 3.22-3.53, 1 Pr 3.28
5 Pr 0.2368 0.5000 0.1293  2 Y 3.20-3.39, 1 Tb 3.28
6 Y 0.0000 0.0000 0.5000  4 Tb 3.71, 2 Pr 3.77, 2 Y 3.92
7 Y 0.0000 0.5000 0.0000  2 Tb 2.57
8 Y 0.1190 0.0000 0.3135  1 Y 3.30, 5 Tb 3.31-3.56
9 Y 0.1758 0.5000 0.3426  2 Y 3.21-3.30, 1 Pr 3.39, 1 Tb 3.40

Values from the calculation:
Energy above the most stable polymorph in this dataset ... 2.60 kcal/mol of atoms
Raw total energy ... -4.848 eV/atom
Energy of formation from the pure elements ... 0.411 eV per atom
N(E_F) ... 1.53 states/eV per atom

***

CrCu2MoAs | GGA-PBE | optimized geometry

a b c (Å): 4.7314 4.7314 4.4118
angles (deg): 90.00 90.00 90.00
Closest atoms and distances in Å follow each position.
Space group P4/mmm (No. 123)
One atom of each set of equivalent atoms:
1 Cr 0.0000 0.0000 0.0000  2 Mo 2.21
2 Cu 0.0000 0.5000 0.5000  2 Mo 2.37
3 Mo 0.0000 0.0000 0.5000  2 Cr 2.21, 4 Cu 2.37
4 As 0.5000 0.5000 0.0000  8 Cu 3.23, 4 Cr 3.35

Values from the calculation:
Raw total energy ... -5.207 eV/atom
Energy of formation from the pure elements ... 1.452 eV per atom
N(E_F) ... 0.65 states/eV per atom

***

LaTl2TcNi | GGA-PBE | optimized geometry

a b c (Å): 5.2476 5.2476 4.6561
angles (deg): 90.00 90.00 90.00
Closest atoms and distances in Å follow each position.
Space group P4/mmm (No. 123)
One atom of each set of equivalent atoms:
1 La 0.0000 0.0000 0.0000  8 Tl 3.51, 4 Ni 3.71
2 Tl 0.0000 0.5000 0.5000  2 Tc 2.62
3 Tc 0.5000 0.5000 0.5000  2 Ni 2.33
4 Ni 0.5000 0.5000 0.0000  2 Tc 2.33

Values from the calculation:
Raw total energy ... -4.782 eV/atom
Energy of formation from the pure elements ... 0.380 eV per atom
N(E_F) ... 1.26 states/eV per atom

***

CaCrW2 | GGA-PBE | optimized geometry

a b c (Å): 4.9241 4.9241 16.4957
angles (deg): 90.00 90.00 90.00
Closest atoms and distances in Å follow each position.
Space group I-42d (No. 122)
One atom of each set of equivalent atoms:
1 Ca 0.0000 0.0000 0.0000  8 W 3.38-3.50, 4 Cr 3.48
2 Cr 0.0000 0.0000 0.5000  4 W 2.40
3 W 0.0165 0.7500 0.6250  2 Cr 2.40, 2 W 2.47

Values from the calculation:
Energy above the most stable polymorph in this dataset ... 21.15 kcal/mol of atoms
Raw total energy ... -7.838 eV/atom
Energy of formation from the pure elements ... 1.545 eV per atom
N(E_F) ... 1.82 states/eV per atom

***

K2Pr2TiO6 | GGA-PBE | optimized geometry

a b c (Å): 6.0302 10.2868 6.6022
angles (deg): 90.00 104.60 90.00
Closest atoms and distances in Å follow each position.
Space group C2/m (No. 12)
One atom of each set of equivalent atoms:
1 K 0.0000 0.1551 0.0000  4 O 2.71-2.76
2 Pr 0.0000 0.3353 0.5000  6 O 2.38-2.43
3 Ti 0.0000 0.0000 0.5000  6 O 2.01-2.06
4 O 0.1906 0.1475 0.6703  1 Ti 2.06
5 O 0.2295 0.0000 0.3263  1 Ti 2.01

Values from the calculation:
Raw total energy ... -7.167 eV/atom
N(E_F) ... 0.00 states/eV per atom

***

BaLiPrTe3 | GGA-PBE | optimized geometry

a b c (Å): 4.6370 15.1299 11.8841
angles (deg): 90.00 90.00 90.00
Closest atoms and distances in Å follow each position.
Space group Cmcm (No. 63)
One atom of each set of equivalent atoms:
1 Ba 0.0000 0.2487 0.2500  6 Te 3.51-3.61
2 Li 0.0000 0.4741 0.7500  4 Te 2.78-2.79
3 Pr 0.0000 0.0000 0.0000  6 Te 3.19-3.22
4 Te 0.0000 0.0768 0.7500  2 Li 2.79
5 Te 0.0000 0.3617 0.5646  1 Li 2.78

Values from the calculation:
Raw total energy ... -4.489 eV/atom

***

Values of spin magnetization, in order: 0.00 0.00 0.00 1.66 0.00 0.01 0.00 0.00, all in μB/cell.